14
Lattice="6.4584 0.0000 0.0000 -3.2292 5.5932 0.0000 0.0000 0.0000 8.2085" Properties=species:S:1:pos:R:3 comment="Rb3AcMo2O8 | Alexandria | PBE+U | optimized geometry" magnetic_moment_mub_per_fu=2.00 vol_a3_per_cell=296.52 n_ef_per_ev_fu=7.9 energy_ev_per_atom=-6.318 pbc="T T T"
Rb 0.0000 0.0000 0.0000
Rb 0.0000 3.7288 5.5865
Rb 3.2292 1.8644 2.6220
Ac 0.0000 0.0000 4.1043
Mo 0.0000 3.7288 1.8696
Mo 3.2292 1.8644 6.3390
O 0.0000 1.9854 2.6096
O -1.5099 4.6005 2.6096
O 0.0000 3.7288 0.0683
O 1.7194 0.9927 5.5990
O 1.5098 4.6005 2.6096
O 3.2292 1.8644 8.1402
O 4.7391 0.9927 5.5990
O 3.2292 3.6078 5.5990